Arrangement P

Here is a geometry-optimized BaCa2InPd structure from the Alexandria database. Energies are from PBE.

```
BaCa2InPd
1.0
5.599 0.000 0.000
0.000 5.599 0.000
0.000 0.000 6.076
Ba Ca In Pd
1 2 1 1
Direct
0.000 0.000 0.000
0.000 0.500 0.500
0.500 0.000 0.500
0.500 0.500 0.000
0.000 0.000 0.500
```

Size of the total moment (μB per atom): 0.000
SG: P4/mmm, No. 123


Arrangement Q

Here is a geometry-optimized BaCa2InPd structure from the Alexandria database. Energies are from PBE.

```
BaCa2InPd
1.0
5.600 0.000 0.000
0.000 5.600 0.000
0.000 0.000 5.393
Ba Ca In Pd
1 2 1 1
Direct
0.000 0.000 0.000
0.000 0.500 0.500
0.500 0.000 0.500
0.500 0.500 0.000
0.500 0.500 0.500
```

Size of the total moment (μB per atom): 0.000
SG: P4/mmm, No. 123


Short version: arrangement Q is the most stable of them.


Arrangement P

Here is a geometry-optimized Ba2CaInPd structure from the Alexandria database. Energies are from PBE.

```
Ba2CaInPd
1.0
6.156 0.000 0.000
0.000 6.156 0.000
0.000 0.000 5.546
Ba Ca In Pd
2 1 1 1
Direct
0.000 0.500 0.000
0.500 0.000 0.000
0.000 0.000 0.500
0.500 0.500 0.500
0.000 0.000 0.000
```

Size of the total moment (μB per atom): 0.000
SG: P4/mmm, No. 123


Arrangement Q

Here is a geometry-optimized Ba2CaInPd structure from the Alexandria database. Energies are from PBE.

```
Ba2CaInPd
1.0
6.193 0.000 0.000
0.000 6.193 0.000
0.000 0.000 5.334
Ba Ca In Pd
2 1 1 1
Direct
0.000 0.500 0.000
0.500 0.000 0.000
0.000 0.000 0.500
0.500 0.500 0.500
0.500 0.500 0.000
```

Size of the total moment (μB per atom): 0.000
SG: P4/mmm, No. 123


Short version: arrangement P is the most stable of them.


Arrangement P

Here is a geometry-optimized BaCa2InRh structure from the Alexandria database. Energies are from PBE.

```
BaCa2InRh
1.0
5.519 0.000 0.000
0.000 5.519 0.000
0.000 0.000 5.926
Ba Ca In Rh
1 2 1 1
Direct
0.000 0.000 0.000
0.000 0.500 0.500
0.500 0.000 0.500
0.500 0.500 0.000
0.000 0.000 0.500
```

Size of the total moment (μB per atom): 0.000
SG: P4/mmm, No. 123


Arrangement Q

Here is a geometry-optimized BaCa2InRh structure from the Alexandria database. Energies are from PBE.

```
BaCa2InRh
1.0
5.495 0.000 0.000
0.000 5.495 0.000
0.000 0.000 5.401
Ba Ca In Rh
1 2 1 1
Direct
0.000 0.000 0.000
0.000 0.500 0.500
0.500 0.000 0.500
0.500 0.500 0.000
0.500 0.500 0.500
```

Size of the total moment (μB per atom): 0.000
SG: P4/mmm, No. 123


Short version: arrangement Q is the most stable of them.


Arrangement P

Here is a geometry-optimized BaSrCa2In structure from the Alexandria database. Energies are from PBE.

```
BaSrCa2In
1.0
6.179 0.000 0.000
0.000 6.179 0.000
0.000 0.000 6.450
Ba Sr Ca In
1 1 2 1
Direct
0.000 0.000 0.000
0.500 0.500 0.000
0.000 0.500 0.500
0.500 0.000 0.500
0.500 0.500 0.500
```

Size of the total moment (μB per atom): 0.001
SG: P4/mmm, No. 123


Arrangement Q

Here is a geometry-optimized BaSrCa2In structure from the Alexandria database. Energies are from PBE.

```
BaSrCa2In
1.0
6.178 0.000 0.000
0.000 6.178 0.000
0.000 0.000 6.698
Ba Sr Ca In
1 1 2 1
Direct
0.000 0.000 0.000
0.500 0.500 0.000
0.000 0.500 0.500
0.500 0.000 0.500
0.000 0.000 0.500
```

Size of the total moment (μB per atom): 0.000
SG: P4/mmm, No. 123


Short version: arrangement P is the most stable of them.


Arrangement P

Here is a geometry-optimized BaCa4Ir structure from the Alexandria database. Energies are from PBE.

```
BaCa4Ir
1.0
0.000 4.725 4.725
4.725 0.000 4.725
4.725 4.725 0.000
Ba Ca Ir
1 4 1
Direct
0.000 0.000 0.000
0.130 0.623 0.623
0.623 0.130 0.623
0.623 0.623 0.130
0.623 0.623 0.623
0.250 0.250 0.250
```

Size of the total moment (μB per atom): 0.000
SG: F-43m, No. 216


Arrangement Q

Here is a geometry-optimized BaCa4Ir structure from the Alexandria database. Energies are from PBE.

```
BaCa4Ir
1.0
10.710 0.000 0.000
0.000 7.132 0.000
-1.064 0.000 6.666
Ba Ca Ir
2 8 2
Direct
0.000 0.000 0.000
0.000 0.500 0.500
0.269 0.116 0.574
0.269 0.384 0.074
0.404 0.649 0.627
0.404 0.851 0.127
0.596 0.149 0.873
0.596 0.351 0.373
0.731 0.616 0.926
0.731 0.884 0.426
0.500 0.000 0.500
0.500 0.500 0.000
```

Size of the total moment (μB per atom): 0.000
SG: P2_1/c, No. 14


Short version: arrangement Q is the most stable of them.


Arrangement P

Here is a geometry-optimized BaCa3Ir structure from the Alexandria database. Energies are from PBE.

```
BaCa3Ir
1.0
8.362 0.000 0.000
-4.181 7.242 0.000
0.000 0.000 6.294
Ba Ca Ir
2 6 2
Direct
0.333 0.667 0.250
0.667 0.333 0.750
0.160 0.321 0.750
0.160 0.840 0.750
0.321 0.160 0.250
0.679 0.840 0.750
0.840 0.160 0.250
0.840 0.679 0.250
0.000 0.000 0.000
0.000 0.000 0.500
```

Size of the total moment (μB per atom): 0.000
SG: P6_3/mmc, No. 194


Arrangement Q

Here is a geometry-optimized BaCa3Ir structure from the Alexandria database. Energies are from PBE.

```
BaCa3Ir
1.0
5.527 0.000 0.000
0.000 5.527 0.000
0.000 0.000 5.527
Ba Ca Ir
1 3 1
Direct
0.000 0.000 0.000
0.000 0.000 0.500
0.000 0.500 0.000
0.500 0.000 0.000
0.500 0.500 0.500
```

Size of the total moment (μB per atom): 0.044
SG: Pm-3m, No. 221


Short version: arrangement P is the most stable of them.